Arrangement A

ZrTaC | PBE-GGA | relaxed

Cell and atoms, written as CIF:
```
data_ZrTaC
_cell_length_a 3.0678
_cell_length_b 3.0678
_cell_length_c 10.2774
_cell_angle_alpha 90.00
_cell_angle_beta 90.00
_cell_angle_gamma 90.00
_symmetry_space_group_name_H-M 'I 4 m m'
_symmetry_Int_Tables_number 107
_symmetry_space_group_name_Hall 'I 4 -2'
loop_
_atom_site_label
_atom_site_type_symbol
_atom_site_fract_x
_atom_site_fract_y
_atom_site_fract_z
_atom_site_occupancy
Zr1 Zr 0.0000 0.0000 0.0000 1
Ta1 Ta 0.0000 0.0000 0.2894 1
C1 C 0.0000 0.0000 0.7504 1
```

Arrangement B

ZrTaC | PBE-GGA | relaxed

Cell and atoms, written as CIF:
```
data_ZrTaC
_cell_length_a 11.4157
_cell_length_b 3.2545
_cell_length_c 5.5365
_cell_angle_alpha 90.00
_cell_angle_beta 114.57
_cell_angle_gamma 90.00
_symmetry_space_group_name_H-M 'C 1 2/m 1'
_symmetry_Int_Tables_number 12
_symmetry_space_group_name_Hall '-C 2y'
loop_
_atom_site_label
_atom_site_type_symbol
_atom_site_fract_x
_atom_site_fract_y
_atom_site_fract_z
_atom_site_occupancy
Zr1 Zr 0.1215 0.0000 0.3100 1
Ta1 Ta 0.1333 0.5000 0.8169 1
C1 C 0.2473 0.0000 0.7594 1
```

It is arrangement A that is the least stable of them.

Arrangement A

Zr2TaC2 | PBE-GGA | relaxed

Cell and atoms, written as CIF:
```
data_Zr2TaC2
_cell_length_a 5.6184
_cell_length_b 9.9691
_cell_length_c 5.6069
_cell_angle_alpha 90.00
_cell_angle_beta 107.86
_cell_angle_gamma 90.00
_symmetry_space_group_name_H-M 'C 1 2/c 1'
_symmetry_Int_Tables_number 15
_symmetry_space_group_name_Hall '-C 2yc'
loop_
_atom_site_label
_atom_site_type_symbol
_atom_site_fract_x
_atom_site_fract_y
_atom_site_fract_z
_atom_site_occupancy
Zr1 Zr 0.0000 0.0763 0.2500 1
Zr2 Zr 0.0000 0.2460 0.7500 1
Ta1 Ta 0.0000 0.4401 0.2500 1
C1 C 0.2375 0.4188 0.0011 1
```

Arrangement B

Zr2TaC2 | PBE-GGA | relaxed

Cell and atoms, written as CIF:
```
data_Zr2TaC2
_cell_length_a 3.7770
_cell_length_b 3.7770
_cell_length_c 9.8595
_cell_angle_alpha 90.00
_cell_angle_beta 90.00
_cell_angle_gamma 90.00
_symmetry_space_group_name_H-M 'I 4/m m m'
_symmetry_Int_Tables_number 139
_symmetry_space_group_name_Hall '-I 4 2'
loop_
_atom_site_label
_atom_site_type_symbol
_atom_site_fract_x
_atom_site_fract_y
_atom_site_fract_z
_atom_site_occupancy
Zr1 Zr 0.0000 0.5000 0.2500 1
Ta1 Ta 0.0000 0.0000 0.0000 1
C1 C 0.0000 0.0000 0.4271 1
```

It is arrangement B that is the least stable of them.

Arrangement A

TbC2 | PBE-GGA | relaxed

Cell and atoms, written as CIF:
```
data_TbC2
_cell_length_a 3.7392
_cell_length_b 4.7169
_cell_length_c 5.0576
_cell_angle_alpha 90.00
_cell_angle_beta 90.00
_cell_angle_gamma 90.00
_symmetry_space_group_name_H-M 'I m m m'
_symmetry_Int_Tables_number 71
_symmetry_space_group_name_Hall '-I 2 2'
loop_
_atom_site_label
_atom_site_type_symbol
_atom_site_fract_x
_atom_site_fract_y
_atom_site_fract_z
_atom_site_occupancy
Tb1 Tb 0.0000 0.0000 0.0000 1
C1 C 0.0000 0.1380 0.5000 1
```

Arrangement B

TbC2 | PBE-GGA | relaxed

Cell and atoms, written as CIF:
```
data_TbC2
_cell_length_a 6.3552
_cell_length_b 4.1299
_cell_length_c 6.7979
_cell_angle_alpha 90.00
_cell_angle_beta 104.78
_cell_angle_gamma 90.00
_symmetry_space_group_name_H-M 'C 1 2/c 1'
_symmetry_Int_Tables_number 15
_symmetry_space_group_name_Hall '-C 2yc'
loop_
_atom_site_label
_atom_site_type_symbol
_atom_site_fract_x
_atom_site_fract_y
_atom_site_fract_z
_atom_site_occupancy
Tb1 Tb 0.0000 0.1910 0.2500 1
C1 C 0.2025 0.3711 0.9458 1
```

It is arrangement A that is the least stable of them.